# 1
AcPrPS PBE optimized geometry; E = -24.5 eV for the cell shown
1.0
3.8826 0.0000 0.0000
0.0000 3.9463 0.0000
-1.9413 -1.9732 7.2449
Ac Pr P S
1 1 1 1
Direct
0.8215 0.3215 0.6430
0.0783 0.0783 0.1567
0.6599 0.6599 0.3198
0.4194 0.9194 0.8388

# 2
AcPrPSe PBE optimized geometry; E = -24.8 eV for the cell shown
1.0
-3.6643 -2.0593 -0.9929
-0.0313 -4.3046 -0.3500
-2.8174 -2.6797 6.5618
Ac Pr P Se
1 1 1 1
Direct
0.9940 0.9940 0.0179
0.5062 0.5062 0.4815
0.2461 0.2461 0.2618
0.7538 0.7538 0.7387